Entry 1:
CsCo3Cl | PBE-GGA | relaxed

Structure (POSCAR):
```
CsCo3Cl
1.0
4.483 0.000 0.000
0.000 4.483 0.000
0.000 0.000 4.483
Co Cl Cs
3 1 1
Cartesian
0.000 0.000 2.241
2.241 0.000 0.000
0.000 2.241 0.000
0.000 0.000 0.000
2.241 2.241 2.241
```

## Properties
ΔE to the lowest computed polymorph = 0.000 eV per atom
total magnetization = 0.6177 μB/atom

***

Entry 2:
CsCo2CuCl8 | PBE-GGA | relaxed

Structure (POSCAR):
```
CsCo2CuCl8
1.0
-1.166 -1.018 6.136
4.726 -1.588 3.898
2.786 8.416 5.188
Cl Cu Co Cs
8 1 2 1
Cartesian
4.085 6.510 6.107
2.261 -0.700 9.115
1.695 6.331 9.084
4.447 2.540 11.056
4.651 -0.520 6.138
5.413 5.593 9.571
1.900 3.270 4.166
0.933 0.217 5.651
0.000 0.000 0.000
4.812 4.658 11.476
1.535 1.152 3.746
3.173 2.905 7.611
```

## Properties
electronic total energy = -3.6181 eV per atom
total magnetization = 0.6724 μB/atom

***

Question: Among the records above, which one has the highest total magnetization?
Answer: CsCo2CuCl8